A relaxed Pu2ScTi crystal. Source: the Alexandria database, functional PBE.

## Properties
The density of states at the Fermi level comes out at 2.91 states/eV per atom. As for the formation energy: 263 meV per atom.

Geometry as POSCAR:
```
Pu2ScTi
1.0
3.611 0.000 0.000
0.000 3.611 0.000
0.000 0.000 6.973
Pu Sc Ti
2 1 1
direct
0.000 0.000 0.231 Pu
0.000 0.000 0.769 Pu
0.500 0.500 0.500 Sc
0.500 0.500 0.000 Ti
```

=====

A relaxed PuSc5Tl6 crystal. Source: the Alexandria database, functional PBE.

## Properties
The density of states at the Fermi level comes out at 1.32 states/eV per atom. As for the formation energy: -204 meV per atom.

Geometry as POSCAR:
```
PuSc5Tl6
1.0
-2.568 3.675 7.690
2.568 -3.675 7.690
2.568 3.675 -7.690
Pu Sc Tl
1 5 6
direct
0.000 0.000 0.000 Pu
0.157 0.657 0.500 Sc
0.329 0.329 0.000 Sc
0.500 0.000 0.500 Sc
0.671 0.671 0.000 Sc
0.843 0.343 0.500 Sc
0.087 0.828 0.259 Tl
0.270 0.500 0.770 Tl
0.431 0.172 0.259 Tl
0.569 0.828 0.741 Tl
0.730 0.500 0.230 Tl
0.913 0.172 0.741 Tl
```

=====

A relaxed PuScTl crystal. Source: the Alexandria database, functional PBE.

## Properties
The density of states at the Fermi level comes out at 2.83 states/eV per atom. As for the formation energy: -15 meV per atom.

Geometry as POSCAR:
```
PuScTl
1.0
-1.676 1.676 6.850
1.676 -1.676 6.850
1.676 1.676 -6.850
Pu Sc Tl
1 1 1
direct
0.000 0.000 0.000 Pu
0.675 0.675 0.000 Sc
0.325 0.325 0.000 Tl
```

=====

A relaxed PuScTl crystal. Source: the Alexandria database, functional PBE.

## Properties
The density of states at the Fermi level comes out at 1.89 states/eV per atom. As for the formation energy: -4 meV per atom.

Geometry as POSCAR:
```
PuScTl
1.0
1.729 0.998 13.899
-1.729 0.998 13.899
0.000 -1.997 13.899
Pu Sc Tl
2 2 2
direct
0.152 0.152 0.152 Pu
0.848 0.848 0.848 Pu
0.303 0.303 0.303 Sc
0.697 0.697 0.697 Sc
0.423 0.423 0.423 Tl
0.577 0.577 0.577 Tl
```

=====

A relaxed Pu2ScTl9 crystal. Source: the Alexandria database, functional PBE.

## Properties
The density of states at the Fermi level comes out at 2.41 states/eV per atom. As for the formation energy: -56 meV per atom.

Geometry as POSCAR:
```
Pu2ScTl9
1.0
4.755 0.000 0.000
0.000 4.755 0.000
0.000 0.000 14.212
Pu Sc Tl
2 1 9
direct
0.000 0.000 0.172 Pu
0.000 0.000 0.828 Pu
0.000 0.000 0.500 Sc
0.000 0.500 0.000 Tl
0.000 0.500 0.340 Tl
0.000 0.500 0.660 Tl
0.500 0.000 0.000 Tl
0.500 0.000 0.340 Tl
0.500 0.000 0.660 Tl
0.500 0.500 0.166 Tl
0.500 0.500 0.500 Tl
0.500 0.500 0.834 Tl
```

=====

A relaxed PuSc3Tl4 crystal. Source: the Alexandria database, functional PBE.

## Properties
The density of states at the Fermi level comes out at 1.65 states/eV per atom. As for the formation energy: -169 meV per atom.

Geometry as POSCAR:
```
PuSc3Tl4
1.0
2.592 1.496 8.477
-2.592 1.496 8.477
0.000 -2.993 8.477
Pu Sc Tl
1 3 4
direct
0.000 0.000 0.000 Pu
0.252 0.252 0.252 Sc
0.500 0.500 0.500 Sc
0.748 0.748 0.748 Sc
0.128 0.128 0.128 Tl
0.379 0.379 0.379 Tl
0.621 0.621 0.621 Tl
0.872 0.872 0.872 Tl
```

=====

A relaxed PuSc4Tl5 crystal. Source: the Alexandria database, functional PBE.

## Properties
The density of states at the Fermi level comes out at 1.52 states/eV per atom. As for the formation energy: -204 meV per atom.

Geometry as POSCAR:
```
PuSc4Tl5
1.0
3.602 0.000 0.000
0.000 3.602 0.000
0.000 0.000 18.719
Pu Sc Tl
1 4 5
direct
0.000 0.000 0.000 Pu
0.000 0.000 0.210 Sc
0.000 0.000 0.403 Sc
0.000 0.000 0.597 Sc
0.000 0.000 0.790 Sc
0.500 0.500 0.115 Tl
0.500 0.500 0.307 Tl
0.500 0.500 0.500 Tl
0.500 0.500 0.693 Tl
0.500 0.500 0.885 Tl
```

=====

A relaxed PuScTl4 crystal. Source: the Alexandria database, functional PBE.

## Properties
The density of states at the Fermi level comes out at 2.91 states/eV per atom. As for the formation energy: 9 meV per atom.

Geometry as POSCAR:
```
PuScTl4
1.0
4.359 -2.555 0.000
4.359 2.555 0.000
-0.061 0.000 7.278
Pu Sc Tl
1 1 4
direct
0.000 0.000 0.000 Pu
0.000 0.000 0.500 Sc
0.332 0.332 0.332 Tl
0.334 0.334 0.808 Tl
0.666 0.666 0.192 Tl
0.668 0.668 0.668 Tl
```